<P>
Here is crystalline Nd7Pt2Au2 at its relaxed geometry from Alexandria via LeMat-Bulk. Energies are from PBE.

abc: 8.149 11.196 7.320
angles: 90.00 90.00 90.00
Space group Cmmm (No. 65)
Inequivalent atoms, fractional coordinates:
Nd1 0.000 0.000 0.000 (multiplicity 2)
Nd2 0.000 0.500 0.257 (multiplicity 4)
Nd3 0.250 0.250 0.264 (multiplicity 8)
Pt1 0.000 0.288 0.000 (multiplicity 4)
Au1 0.184 0.000 0.500 (multiplicity 4)

The calculation puts the total magnetic moment at 0.0 μB per cell. The value obtained for the density of states at the Fermi level is 13.86 states/eV/f.u.


<Q>
Here is crystalline Nd7Pt2Au2 at its relaxed geometry from Alexandria via LeMat-Bulk. Energies are from PBE.

abc: 4.002 16.210 9.875
angles: 90.00 90.00 90.00
Space group Imm2 (No. 44)
Inequivalent atoms, fractional coordinates:
Nd1 0.000 0.000 0.000 (multiplicity 2)
Nd2 0.000 0.108 0.627 (multiplicity 4)
Nd3 0.000 0.309 0.411 (multiplicity 4)
Nd4 0.000 0.383 0.777 (multiplicity 4)
Pt1 0.000 0.000 0.376 (multiplicity 2)
Pt2 0.000 0.500 0.281 (multiplicity 2)
Au1 0.000 0.237 0.121 (multiplicity 4)

The calculation puts the total magnetic moment at 0.0 μB per cell. The value obtained for the density of states at the Fermi level is 11.56 states/eV/f.u.


Quick one: least stable of them? <P>


<P>
Here is crystalline NdPtAu2 at its relaxed geometry from Alexandria via LeMat-Bulk. Energies are from PBE.

abc: 5.303 13.790 5.285
angles: 90.00 117.48 90.00
Space group C2/c (No. 15)
Inequivalent atoms, fractional coordinates:
Nd1 0.000 0.135 0.250 (multiplicity 4)
Pt1 0.000 0.250 0.750 (multiplicity 4)
Au1 0.179 0.422 0.098 (multiplicity 8)

The calculation puts the total magnetic moment at 0.0 μB per cell. The value obtained for the density of states at the Fermi level is 1.52 states/eV/f.u.


<Q>
Here is crystalline NdPtAu2 at its relaxed geometry from Alexandria via LeMat-Bulk. Energies are from PBE.

abc: 4.391 7.677 5.526
angles: 90.00 113.34 90.00
Space group P2_1/m (No. 11)
Inequivalent atoms, fractional coordinates:
Nd1 0.073 0.250 0.145 (multiplicity 2)
Pt1 0.221 0.750 0.444 (multiplicity 2)
Au1 0.370 0.058 0.738 (multiplicity 4)

The calculation puts the total magnetic moment at 0.0 μB per cell. The value obtained for the density of states at the Fermi level is 1.85 states/eV/f.u.


<R>
Here is crystalline NdPtAu2 at its relaxed geometry from Alexandria via LeMat-Bulk. Energies are from PBE.

abc: 4.142 4.142 4.849
angles: 90.00 90.00 90.00
Space group P4/mmm (No. 123)
Inequivalent atoms, fractional coordinates:
Nd1 0.000 0.000 0.000 (multiplicity 1)
Pt1 0.500 0.500 0.000 (multiplicity 1)
Au1 0.000 0.500 0.500 (multiplicity 2)

The calculation puts the total magnetic moment at 0.0 μB per cell. The value obtained for the density of states at the Fermi level is 2.09 states/eV/f.u.


Quick one: least stable of them? <R>


<P>
Here is crystalline Nd3Pt2Au3 at its relaxed geometry from Alexandria via LeMat-Bulk. Energies are from PBE.

abc: 17.870 4.132 5.234
angles: 90.00 98.88 90.00
Space group C2/m (No. 12)
Inequivalent atoms, fractional coordinates:
Nd1 0.000 0.000 0.000 (multiplicity 2)
Nd2 0.157 0.000 0.591 (multiplicity 4)
Pt1 0.237 0.000 0.159 (multiplicity 4)
Au1 0.000 0.500 0.500 (multiplicity 2)
Au2 0.126 0.500 0.091 (multiplicity 4)

The calculation puts the total magnetic moment at 0.0 μB per cell. The value obtained for the density of states at the Fermi level is 3.88 states/eV/f.u.


<Q>
Here is crystalline Nd3Pt2Au3 at its relaxed geometry from Alexandria via LeMat-Bulk. Energies are from PBE.

abc: 4.082 10.578 17.416
angles: 90.00 90.00 90.00
Space group Cmcm (No. 63)
Inequivalent atoms, fractional coordinates:
Nd1 0.000 0.066 0.104 (multiplicity 8)
Nd2 0.000 0.330 0.250 (multiplicity 4)
Pt1 0.000 0.225 0.624 (multiplicity 8)
Au1 0.000 0.367 0.028 (multiplicity 8)
Au2 0.000 0.393 0.750 (multiplicity 4)

The calculation puts the total magnetic moment at 0.0 μB per cell. The value obtained for the density of states at the Fermi level is 4.25 states/eV/f.u.


Quick one: least stable of them? <P>


<P>
Here is crystalline NdPuPtAu at its relaxed geometry from Alexandria via LeMat-Bulk. Energies are from PBE.

abc: 7.240 7.240 7.240
angles: 90.00 90.00 90.00
Space group F-43m (No. 216)
Inequivalent atoms, fractional coordinates:
Nd1 0.000 0.000 0.000 (multiplicity 4)
Pu1 0.000 0.000 0.500 (multiplicity 4)
Pt1 0.250 0.250 0.750 (multiplicity 4)
Au1 0.250 0.250 0.250 (multiplicity 4)

The calculation puts the total magnetic moment at 23.2 μB per cell. The value obtained for the density of states at the Fermi level is 12.63 states/eV/f.u.


<Q>
Here is crystalline NdPuPtAu at its relaxed geometry from Alexandria via LeMat-Bulk. Energies are from PBE.

abc: 4.518 3.928 11.133
angles: 90.00 90.00 90.00
Space group Amm2 (No. 38)
Inequivalent atoms, fractional coordinates:
Nd1 0.000 0.000 0.000 (multiplicity 2)
Pu1 0.500 0.000 0.723 (multiplicity 2)
Pt1 0.000 0.000 0.266 (multiplicity 2)
Au1 0.500 0.000 0.443 (multiplicity 2)

The calculation puts the total magnetic moment at 11.2 μB per cell. The value obtained for the density of states at the Fermi level is 13.32 states/eV/f.u.


Quick one: least stable of them? <P>


<P>
Here is crystalline TbNdPtAu at its relaxed geometry from Alexandria via LeMat-Bulk. Energies are from PBE.

abc: 7.229 7.229 7.229
angles: 90.00 90.00 90.00
Space group F-43m (No. 216)
Inequivalent atoms, fractional coordinates:
Tb1 0.000 0.000 0.000 (multiplicity 4)
Nd1 0.000 0.000 0.500 (multiplicity 4)
Pt1 0.250 0.250 0.750 (multiplicity 4)
Au1 0.250 0.250 0.250 (multiplicity 4)

The calculation puts the total magnetic moment at 0.0 μB per cell. The value obtained for the density of states at the Fermi level is 2.59 states/eV/f.u.


<Q>
Here is crystalline TbNdPtAu at its relaxed geometry from Alexandria via LeMat-Bulk. Energies are from PBE.

abc: 4.664 3.865 10.860
angles: 90.00 90.00 90.00
Space group Amm2 (No. 38)
Inequivalent atoms, fractional coordinates:
Tb1 0.000 0.000 0.000 (multiplicity 2)
Nd1 0.500 0.000 0.724 (multiplicity 2)
Pt1 0.500 0.000 0.453 (multiplicity 2)
Au1 0.000 0.000 0.279 (multiplicity 2)

The calculation puts the total magnetic moment at 0.0 μB per cell. The value obtained for the density of states at the Fermi level is 2.56 states/eV/f.u.


Quick one: least stable of them? <P>


<P>
Here is crystalline NdTmPtAu at its relaxed geometry from Alexandria via LeMat-Bulk. Energies are from PBE.

abc: 4.649 3.816 10.781
angles: 90.00 90.00 90.00
Space group Amm2 (No. 38)
Inequivalent atoms, fractional coordinates:
Nd1 0.000 0.000 0.000 (multiplicity 2)
Tm1 0.500 0.000 0.724 (multiplicity 2)
Pt1 0.000 0.000 0.271 (multiplicity 2)
Au1 0.500 0.000 0.445 (multiplicity 2)

The calculation puts the total magnetic moment at 0.0 μB per cell. The value obtained for the density of states at the Fermi level is 2.16 states/eV/f.u.


<Q>
Here is crystalline NdTmPtAu at its relaxed geometry from Alexandria via LeMat-Bulk. Energies are from PBE.

abc: 7.173 7.173 7.173
angles: 90.00 90.00 90.00
Space group F-43m (No. 216)
Inequivalent atoms, fractional coordinates:
Nd1 0.000 0.000 0.000 (multiplicity 4)
Tm1 0.000 0.000 0.500 (multiplicity 4)
Pt1 0.250 0.250 0.750 (multiplicity 4)
Au1 0.250 0.250 0.250 (multiplicity 4)

The calculation puts the total magnetic moment at 0.0 μB per cell. The value obtained for the density of states at the Fermi level is 2.68 states/eV/f.u.


Quick one: least stable of them? <Q>